# Zn2SiSb

An optimized crystal structure of Zn2SiSb (PBE, Alexandria).

Summary:
- Polymorph energy (0 for the lowest one): 124 meV/atom
- ΔE_f (raw): 298 meV per atom
- Symmetry: No. 65

abc: 3.122 3.122 7.991
angles: 90.00 90.00 100.34
Sites, in units of the cell vectors:
1 Sb 0.500 0.500 0.250
2 Si 0.500 0.500 0.750
3 Zn 0.000 0.000 0.961
4 Zn 0.000 0.000 0.539

---

# ZnSi2Sb

An optimized crystal structure of ZnSi2Sb (PBE, Alexandria).

Summary:
- Polymorph energy (0 for the lowest one): 0 meV/atom
- ΔE_f (raw): 256 meV per atom
- Symmetry: No. 160

abc: 6.752 6.752 6.752
angles: 32.47 32.47 32.47
Sites, in units of the cell vectors:
1 Sb 0.745 0.745 0.745
2 Si 0.983 0.983 0.983
3 Si 0.259 0.259 0.259
4 Zn 0.512 0.512 0.512

---

# ZnSi2Sb

An optimized crystal structure of ZnSi2Sb (PBE, Alexandria).

Summary:
- Polymorph energy (0 for the lowest one): 51 meV/atom
- ΔE_f (raw): 307 meV per atom
- Symmetry: No. 65

abc: 4.926 3.929 3.929
angles: 83.71 90.00 90.00
Sites, in units of the cell vectors:
1 Sb 0.500 0.750 0.750
2 Si 0.000 0.038 0.038
3 Si 0.000 0.462 0.462
4 Zn 0.500 0.250 0.250

---

# Zn2SiSb

An optimized crystal structure of Zn2SiSb (PBE, Alexandria).

Summary:
- Polymorph energy (0 for the lowest one): 183 meV/atom
- ΔE_f (raw): 356 meV per atom
- Symmetry: No. 216

abc: 4.786 4.786 4.786
angles: 60.00 60.00 60.00
Sites, in units of the cell vectors:
1 Sb 0.500 0.500 0.500
2 Si 0.250 0.250 0.250
3 Zn 0.000 0.000 0.000
4 Zn 0.750 0.750 0.750

---

# Zn2SiSb

An optimized crystal structure of Zn2SiSb (PBE, Alexandria).

Summary:
- Polymorph energy (0 for the lowest one): 225 meV/atom
- ΔE_f (raw): 398 meV per atom
- Symmetry: No. 225

abc: 4.782 4.782 4.782
angles: 60.00 60.00 60.00
Sites, in units of the cell vectors:
1 Sb 0.500 0.500 0.500
2 Zn 0.250 0.250 0.250
3 Zn 0.750 0.750 0.750
4 Si 0.000 0.000 0.000

---

# Zn2SiSb

An optimized crystal structure of Zn2SiSb (PBE, Alexandria).

Summary:
- Polymorph energy (0 for the lowest one): 77 meV/atom
- ΔE_f (raw): 251 meV per atom
- Symmetry: No. 47

abc: 3.439 2.928 7.704
angles: 90.00 90.00 90.00
Sites, in units of the cell vectors:
1 Sb 0.500 0.250 0.250
2 Si 0.500 0.750 0.750
3 Zn 0.000 0.250 0.948
4 Zn 0.000 0.250 0.552

---

# ZnSi2Sb

An optimized crystal structure of ZnSi2Sb (PBE, Alexandria).

Summary:
- Polymorph energy (0 for the lowest one): 285 meV/atom
- ΔE_f (raw): 541 meV per atom
- Symmetry: No. 65

abc: 5.372 5.372 3.025
angles: 90.00 90.00 118.48
Sites, in units of the cell vectors:
1 Sb 0.000 0.500 0.500
2 Si 0.000 0.000 0.000
3 Si 0.500 0.500 0.000
4 Zn 0.500 0.000 0.500

---

# Zn2SiSb

An optimized crystal structure of Zn2SiSb (PBE, Alexandria).

Summary:
- Polymorph energy (0 for the lowest one): 144 meV/atom
- ΔE_f (raw): 317 meV per atom
- Symmetry: No. 71

abc: 5.079 5.079 5.079
angles: 135.60 119.89 77.72
Sites, in units of the cell vectors:
1 Sb 0.750 0.250 0.500
2 Si 0.250 0.750 0.500
3 Zn 0.024 0.024 0.000
4 Zn 0.476 0.476 0.000

---

Number 1: DFT total energy -2.726 eV per atom. Number 2: DFT total energy -3.805 eV per atom. Number 3: DFT total energy -3.754 eV per atom. Number 4: DFT total energy -2.668 eV per atom. Number 5: DFT total energy -2.625 eV per atom. Number 6: DFT total energy -2.773 eV per atom. Number 7: DFT total energy -3.520 eV per atom. Number 8: DFT total energy -2.706 eV per atom.